# 1
A plane-wave DFT calculation with PBE-GGA was carried out for a relaxed LiCaAcRu crystal.

Lattice parameters (Å, degrees): 5.1895 5.1895 5.1895 60.00 60.00 60.00
Fractional positions:
Ru 0.2500 0.2500 0.2500
Ac 0.5000 0.5000 0.5000
Ca 0.0000 0.0000 0.0000
Li 0.7500 0.7500 0.7500

- calculated formation energy (eV per atom) = 0.042
- final energy (eV per atom) = -4.28
- V (Å³ per cell) = 98.8
- magnetization (μB/f.u.) = 0.00
- crystal system = cubic

=====

# 2
A plane-wave DFT calculation with PBE-GGA was carried out for a relaxed Y6PbSe5 crystal.

Lattice parameters (Å, degrees): 7.2217 7.1877 7.1858 59.99 80.44 70.61
Fractional positions:
Y 0.7415 0.0860 0.3418
Y 0.2585 0.5722 0.3417
Y 0.2549 0.2574 0.0000
Y 0.7451 0.7426 0.0000
Y 0.7415 0.4278 0.6583
Y 0.2585 0.9140 0.6582
Pb 0.0000 0.0000 0.0000
Se 0.5000 0.1630 0.6740
Se 0.0000 0.3321 0.3358
Se 0.5000 0.5000 0.0000
Se 0.0000 0.6679 0.6642
Se 0.5000 0.8370 0.3260

- final energy (eV per atom) = -6.56
- V (Å³ per cell) = 304.7
- magnetization (μB/f.u.) = 0.00
- E_form (uncorrected) (eV/atom) = -1.5665
- crystal system = monoclinic

=====

# 3
A plane-wave DFT calculation with PBE-GGA was carried out for a relaxed LaSiNi crystal.

Lattice parameters (Å, degrees): 4.0516 4.0516 4.3516 90.00 90.00 120.00
Fractional positions:
Ni 0.6667 0.3333 0.4995
Si 0.3333 0.6667 0.5003
La 0.0000 0.0000 0.0002

- final energy (eV per atom) = -6.09
- V (Å³ per cell) = 61.9
- magnetization (μB/f.u.) = 0.00
- E_form (uncorrected) (eV/atom) = -0.7177
- crystal system = hexagonal

=====

# 4
A plane-wave DFT calculation with PBE-GGA was carried out for a relaxed HoGa2Cu4 crystal.

Lattice parameters (Å, degrees): 4.0455 7.2949 7.2949 90.00 90.00 90.00
Fractional positions:
Cu 0.0000 0.0971 0.3546
Cu 0.0000 0.9029 0.6454
Cu 0.5000 0.1454 0.5971
Cu 0.5000 0.8546 0.4029
Cu 0.5000 0.4029 0.8546
Cu 0.5000 0.5971 0.1454
Cu 0.0000 0.3546 0.0971
Cu 0.0000 0.6454 0.9029
Ho 0.5000 0.0000 0.0000
Ho 0.0000 0.5000 0.5000
Ga 0.0000 0.2114 0.7886
Ga 0.0000 0.7886 0.2114
Ga 0.5000 0.7114 0.7114
Ga 0.5000 0.2886 0.2886

- calculated formation energy (eV per atom) = -0.276
- final energy (eV per atom) = -4.14
- V (Å³ per cell) = 215.3
- magnetization (μB/f.u.) = 0.00
- crystal system = tetragonal

=====

# 5
A plane-wave DFT calculation with PBE-GGA was carried out for a relaxed HoBe2B6 crystal.

Lattice parameters (Å, degrees): 3.0622 6.2892 5.3256 126.19 106.71 90.00
Fractional positions:
Ho 0.0000 0.5000 0.0000
Be 0.8512 0.8512 0.7024
Be 0.1488 0.1488 0.2976
B 0.6991 0.9571 0.3981
B 0.3009 0.0429 0.6019
B 0.3009 0.5589 0.6019
B 0.5000 0.1390 0.0000
B 0.5000 0.8610 0.0000
B 0.6991 0.4411 0.3981

- calculated formation energy (eV per atom) = -0.212
- final energy (eV per atom) = -6.00
- V (Å³ per cell) = 77.3
- magnetization (μB/f.u.) = 0.00
- crystal system = orthorhombic

=====

# 6
A plane-wave DFT calculation with PBE-GGA was carried out for a relaxed U3Tl4AgTe8 crystal.

Lattice parameters (Å, degrees): 8.7932 9.6908 8.7965 117.01 119.99 90.00
Fractional positions:
U 0.5000 0.5000 0.0000
U 0.5000 0.5000 0.5000
U 0.0000 0.5000 0.5000
Tl 0.5000 0.0000 0.0000
Tl 0.5000 0.0000 0.5000
Tl 0.0000 0.0000 0.0000
Tl 0.0000 0.0000 0.5000
Ag 0.0000 0.5000 0.0000
Te 0.2385 0.7118 0.9733
Te 0.2388 0.7121 0.4777
Te 0.2610 0.2829 0.5220
Te 0.7348 0.7118 0.9733
Te 0.2652 0.2882 0.0267
Te 0.7390 0.7171 0.4780
Te 0.7612 0.2879 0.5223
Te 0.7615 0.2882 0.0267

- final energy (eV per atom) = -4.92
- V (Å³ per cell) = 552.8
- magnetization (μB/f.u.) = 7.00
- E_form (uncorrected) (eV/atom) = -0.4639
- crystal system = trigonal